Below is a relaxed structure of VCr3Rh12, with properties calculated at the PBE level.

Unit cell a=3.8067 b=3.8067 c=15.1867 alpha=90.00 beta=90.00 gamma=90.00
With the nearest neighbours (Å) after each atom.
Space group P4/mmm (No. 123)
Asymmetric unit:
V 0.0000 0.0000 0.0000 [1 per cell]  12 Rh 2.68-2.69
Cr 0.0000 0.0000 0.2519 [2 per cell]  12 Rh 2.66-2.71
Cr 0.0000 0.0000 0.5000 [1 per cell]  12 Rh 2.69
Rh 0.0000 0.5000 0.1247 [4 per cell]  8 Rh 2.68-2.69, 2 V 2.68, 2 Cr 2.71
Rh 0.0000 0.5000 0.3746 [4 per cell]  4 Cr 2.66-2.69, 8 Rh 2.69
Rh 0.5000 0.5000 0.0000 [1 per cell]  8 Rh 2.68, 4 V 2.69
Rh 0.5000 0.5000 0.2498 [2 per cell]  8 Rh 2.69, 4 Cr 2.69
Rh 0.5000 0.5000 0.5000 [1 per cell]  4 Cr 2.69, 8 Rh 2.69

Summary:
Size of the total moment = 3.850 μB/f.u.
V = 220 Å³/cell
E_tot = -8.074 eV per atom